Entry 1:
# PrNdGdCd GGA-PBE relaxed
data_PrNdGdCd
_chemical_formula_sum 'Pr1 Nd1 Gd1 Cd1'
_symmetry_space_group_name_H-M 'P 1'
_symmetry_Int_Tables_number 1
_cell_length_a 5.586
_cell_length_b 5.586
_cell_length_c 5.586
_cell_angle_alpha 60.00
_cell_angle_beta 60.00
_cell_angle_gamma 60.00
loop_
_symmetry_equiv_pos_as_xyz
'x,y,z'
loop_
_atom_site_label
_atom_site_type_symbol
_atom_site_fract_x
_atom_site_fract_y
_atom_site_fract_z
Cd1 Cd 0.000 0.000 0.000
Gd1 Gd 0.500 0.500 0.500
Pr1 Pr 0.250 0.250 0.250
Nd1 Nd 0.750 0.750 0.750
# SG	F-43m (216)
# total magnetic moment	1.939	μB per atom
# total DFT energy (no corrections)	-6.190	eV per atom
# energy relative to the elements	-0.05	eV/atom

=====

Entry 2:
# NdGdCdRh GGA-PBE relaxed
data_NdGdCdRh
_chemical_formula_sum 'Nd1 Gd1 Cd1 Rh1'
_symmetry_space_group_name_H-M 'P 1'
_symmetry_Int_Tables_number 1
_cell_length_a 5.167
_cell_length_b 5.167
_cell_length_c 5.167
_cell_angle_alpha 60.00
_cell_angle_beta 60.00
_cell_angle_gamma 60.00
loop_
_symmetry_equiv_pos_as_xyz
'x,y,z'
loop_
_atom_site_label
_atom_site_type_symbol
_atom_site_fract_x
_atom_site_fract_y
_atom_site_fract_z
Gd1 Gd 0.500 0.500 0.500
Nd1 Nd 0.000 0.000 0.000
Cd1 Cd 0.250 0.250 0.250
Rh1 Rh 0.750 0.750 0.750
# SG	F-43m (216)
# total magnetic moment	1.770	μB per atom
# total DFT energy (no corrections)	-7.235	eV per atom
# energy relative to the elements	-0.46	eV/atom

=====

Entry 3:
# NdGdCdRu GGA-PBE relaxed
data_NdGdCdRu
_chemical_formula_sum 'Nd1 Gd1 Cd1 Ru1'
_symmetry_space_group_name_H-M 'P 1'
_symmetry_Int_Tables_number 1
_cell_length_a 5.141
_cell_length_b 5.141
_cell_length_c 5.141
_cell_angle_alpha 60.00
_cell_angle_beta 60.00
_cell_angle_gamma 60.00
loop_
_symmetry_equiv_pos_as_xyz
'x,y,z'
loop_
_atom_site_label
_atom_site_type_symbol
_atom_site_fract_x
_atom_site_fract_y
_atom_site_fract_z
Cd1 Cd 0.250 0.250 0.250
Gd1 Gd 0.000 0.000 0.000
Nd1 Nd 0.500 0.500 0.500
Ru1 Ru 0.750 0.750 0.750
# SG	F-43m (216)
# total magnetic moment	1.761	μB per atom
# total DFT energy (no corrections)	-7.463	eV per atom
# energy relative to the elements	-0.20	eV/atom

=====

Entry 4:
# NdGdCdSb GGA-PBE relaxed
data_NdGdCdSb
_chemical_formula_sum 'Nd1 Gd1 Cd1 Sb1'
_symmetry_space_group_name_H-M 'P 1'
_symmetry_Int_Tables_number 1
_cell_length_a 5.409
_cell_length_b 5.409
_cell_length_c 5.409
_cell_angle_alpha 60.00
_cell_angle_beta 60.00
_cell_angle_gamma 60.00
loop_
_symmetry_equiv_pos_as_xyz
'x,y,z'
loop_
_atom_site_label
_atom_site_type_symbol
_atom_site_fract_x
_atom_site_fract_y
_atom_site_fract_z
Cd1 Cd 0.750 0.750 0.750
Nd1 Nd 0.500 0.500 0.500
Gd1 Gd 0.000 0.000 0.000
Sb1 Sb 0.250 0.250 0.250
# SG	F-43m (216)
# total magnetic moment	1.887	μB per atom
# formation energy without anion corrections	-0.577	eV per atom
# total DFT energy (no corrections)	-6.549	eV per atom

=====

Entry 5:
# NdSmGdCd GGA-PBE relaxed
data_NdSmGdCd
_chemical_formula_sum 'Nd1 Sm1 Gd1 Cd1'
_symmetry_space_group_name_H-M 'P 1'
_symmetry_Int_Tables_number 1
_cell_length_a 5.545
_cell_length_b 5.545
_cell_length_c 5.545
_cell_angle_alpha 60.00
_cell_angle_beta 60.00
_cell_angle_gamma 60.00
loop_
_symmetry_equiv_pos_as_xyz
'x,y,z'
loop_
_atom_site_label
_atom_site_type_symbol
_atom_site_fract_x
_atom_site_fract_y
_atom_site_fract_z
Sm1 Sm 0.500 0.500 0.500
Cd1 Cd 0.750 0.750 0.750
Gd1 Gd 0.250 0.250 0.250
Nd1 Nd 0.000 0.000 0.000
# SG	F-43m (216)
# total magnetic moment	1.932	μB per atom
# total DFT energy (no corrections)	-6.167	eV per atom
# energy relative to the elements	-0.05	eV/atom

=====

Entry 6:
# NdGdThCd GGA-PBE relaxed
data_NdGdThCd
_chemical_formula_sum 'Nd1 Gd1 Th1 Cd1'
_symmetry_space_group_name_H-M 'P 1'
_symmetry_Int_Tables_number 1
_cell_length_a 5.550
_cell_length_b 5.550
_cell_length_c 5.550
_cell_angle_alpha 60.00
_cell_angle_beta 60.00
_cell_angle_gamma 60.00
loop_
_symmetry_equiv_pos_as_xyz
'x,y,z'
loop_
_atom_site_label
_atom_site_type_symbol
_atom_site_fract_x
_atom_site_fract_y
_atom_site_fract_z
Nd1 Nd 0.000 0.000 0.000
Cd1 Cd 0.750 0.750 0.750
Th1 Th 0.250 0.250 0.250
Gd1 Gd 0.500 0.500 0.500
# SG	F-43m (216)
# total magnetic moment	2.012	μB per atom
# total DFT energy (no corrections)	-6.719	eV per atom
# energy relative to the elements	0.08	eV/atom

=====

Entry 7:
# NdGdTmCd GGA-PBE relaxed
data_NdGdTmCd
_chemical_formula_sum 'Nd1 Gd1 Tm1 Cd1'
_symmetry_space_group_name_H-M 'P 1'
_symmetry_Int_Tables_number 1
_cell_length_a 5.498
_cell_length_b 5.498
_cell_length_c 5.498
_cell_angle_alpha 60.00
_cell_angle_beta 60.00
_cell_angle_gamma 60.00
loop_
_symmetry_equiv_pos_as_xyz
'x,y,z'
loop_
_atom_site_label
_atom_site_type_symbol
_atom_site_fract_x
_atom_site_fract_y
_atom_site_fract_z
Cd1 Cd 0.750 0.750 0.750
Nd1 Nd 0.000 0.000 0.000
Gd1 Gd 0.500 0.500 0.500
Tm1 Tm 0.250 0.250 0.250
# SG	F-43m (216)
# total magnetic moment	1.928	μB per atom
# total DFT energy (no corrections)	-6.113	eV per atom
# energy relative to the elements	-0.05	eV/atom

=====

Entry 8:
# NdGdYCd GGA-PBE relaxed
data_NdGdYCd
_chemical_formula_sum 'Nd1 Gd1 Y1 Cd1'
_symmetry_space_group_name_H-M 'P 1'
_symmetry_Int_Tables_number 1
_cell_length_a 5.518
_cell_length_b 5.518
_cell_length_c 5.518
_cell_angle_alpha 60.00
_cell_angle_beta 60.00
_cell_angle_gamma 60.00
loop_
_symmetry_equiv_pos_as_xyz
'x,y,z'
loop_
_atom_site_label
_atom_site_type_symbol
_atom_site_fract_x
_atom_site_fract_y
_atom_site_fract_z
Gd1 Gd 0.500 0.500 0.500
Nd1 Nd 0.250 0.250 0.250
Cd1 Cd 0.000 0.000 0.000
Y1 Y 0.750 0.750 0.750
# SG	F-43m (216)
# total magnetic moment	1.954	μB per atom
# total DFT energy (no corrections)	-6.597	eV per atom
# energy relative to the elements	-0.04	eV/atom

=====

Entry 9:
# Gd2CdNi GGA-PBE relaxed
data_Gd2CdNi
_chemical_formula_sum 'Gd2 Cd1 Ni1'
_symmetry_space_group_name_H-M 'P 1'
_symmetry_Int_Tables_number 1
_cell_length_a 3.892
_cell_length_b 3.892
_cell_length_c 9.840
_cell_angle_alpha 78.59
_cell_angle_beta 78.59
_cell_angle_gamma 60.00
loop_
_symmetry_equiv_pos_as_xyz
'x,y,z'
loop_
_atom_site_label
_atom_site_type_symbol
_atom_site_fract_x
_atom_site_fract_y
_atom_site_fract_z
Gd1 Gd 0.115 0.115 0.656
Ni1 Ni 0.500 0.500 0.500
Gd2 Gd 0.885 0.885 0.344
Cd1 Cd 0.000 0.000 0.000
# SG	R-3m (166)
# total magnetic moment	3.633	μB per atom
# energy above the lowest structure with this stoichiometry	337	meV/atom
# total DFT energy (no corrections)	-8.714	eV per atom
# energy relative to the elements	0.00	eV/atom

=====

Entry 10:
# Gd2CdNi GGA-PBE relaxed
data_Gd2CdNi
_chemical_formula_sum 'Gd2 Cd1 Ni1'
_symmetry_space_group_name_H-M 'P 1'
_symmetry_Int_Tables_number 1
_cell_length_a 5.111
_cell_length_b 5.111
_cell_length_c 5.111
_cell_angle_alpha 60.00
_cell_angle_beta 60.00
_cell_angle_gamma 60.00
loop_
_symmetry_equiv_pos_as_xyz
'x,y,z'
loop_
_atom_site_label
_atom_site_type_symbol
_atom_site_fract_x
_atom_site_fract_y
_atom_site_fract_z
Gd1 Gd 0.250 0.250 0.250
Ni1 Ni 0.000 0.000 0.000
Cd1 Cd 0.500 0.500 0.500
Gd2 Gd 0.750 0.750 0.750
# SG	Fm-3m (225)
# total magnetic moment	3.552	μB per atom
# energy above the lowest structure with this stoichiometry	99	meV/atom
# total DFT energy (no corrections)	-8.953	eV per atom
# energy relative to the elements	-0.24	eV/atom

=====

Entry 11:
# GdCdNi2 GGA-PBE relaxed
data_GdCdNi2
_chemical_formula_sum 'Gd1 Cd1 Ni2'
_symmetry_space_group_name_H-M 'P 1'
_symmetry_Int_Tables_number 1
_cell_length_a 4.629
_cell_length_b 4.629
_cell_length_c 4.629
_cell_angle_alpha 60.00
_cell_angle_beta 60.00
_cell_angle_gamma 60.00
loop_
_symmetry_equiv_pos_as_xyz
'x,y,z'
loop_
_atom_site_label
_atom_site_type_symbol
_atom_site_fract_x
_atom_site_fract_y
_atom_site_fract_z
Ni1 Ni 0.250 0.250 0.250
Cd1 Cd 0.500 0.500 0.500
Gd1 Gd 0.000 0.000 0.000
Ni2 Ni 0.750 0.750 0.750
# SG	Fm-3m (225)
# total magnetic moment	1.763	μB per atom
# energy above the lowest structure with this stoichiometry	0	meV/atom
# total DFT energy (no corrections)	-6.853	eV per atom
# energy relative to the elements	-0.21	eV/atom

=====

Entry 12:
# GdCdNi2 GGA-PBE relaxed
data_GdCdNi2
_chemical_formula_sum 'Gd1 Cd1 Ni2'
_symmetry_space_group_name_H-M 'P 1'
_symmetry_Int_Tables_number 1
_cell_length_a 3.348
_cell_length_b 4.567
_cell_length_c 4.567
_cell_angle_alpha 90.00
_cell_angle_beta 90.00
_cell_angle_gamma 90.00
loop_
_symmetry_equiv_pos_as_xyz
'x,y,z'
loop_
_atom_site_label
_atom_site_type_symbol
_atom_site_fract_x
_atom_site_fract_y
_atom_site_fract_z
Gd1 Gd 0.500 0.500 0.500
Cd1 Cd 0.500 0.000 0.000
Ni1 Ni 0.000 0.500 0.000
Ni2 Ni 0.000 0.000 0.500
# SG	P4/mmm (123)
# total magnetic moment	1.790	μB per atom
# energy above the lowest structure with this stoichiometry	76	meV/atom
# total DFT energy (no corrections)	-6.777	eV per atom
# energy relative to the elements	-0.14	eV/atom